The following is a PBE calculation of a relaxed Ac2Zn4PdAu3 crystal, from Alexandria via LeMat-Bulk.

Properties
* energy of formation: -0.5833 eV per atom
* N(E_F): 0.599 states/eV/atom
* M_tot: 0.000 Bohr magnetons per cell
* DFT total energy: -3.4171 eV per atom

Structure (CIF):
```
data_Ac2Zn4PdAu3
_cell_length_a 4.5320
_cell_length_b 4.5320
_cell_length_c 10.6310
_cell_angle_alpha 90.00
_cell_angle_beta 90.00
_cell_angle_gamma 90.00
_space_group_name_H-M_alt 'P -4 m 2'
_space_group_IT_number 115
_space_group_name_Hall 'P -4 -2'
loop_
_atom_site_label
_atom_site_fract_x
_atom_site_fract_y
_atom_site_fract_z
Ac1 0.0000 0.5000 0.2439
Zn1 0.0000 0.0000 0.5000
Zn2 0.0000 0.5000 0.8802
Zn3 0.5000 0.5000 0.5000
Pd1 0.5000 0.5000 0.0000
Au1 0.0000 0.0000 0.0000
Au2 0.0000 0.5000 0.6341
```